# 1
Y2HoPb | PBE | relaxed

Output
Size of the total moment, μB per cell: 0.00
Symmetry: R3m
Relative energy among the computed polymorphs, meV/atom: 297.5
ΔE_f, meV/atom: 21

Unit cell a=5.1965 b=5.1965 c=6.4927 alpha=66.41 beta=66.41 gamma=60.00
Closest atoms and distances in Å follow each position.
Element x y z (fractional)
Ho 0.4899 0.4899 0.5304  1 Pb 3.35, 6 Y 3.48-3.60
Y 0.2722 0.2722 0.1835  3 Pb 3.29, 3 Y 3.60, 3 Ho 3.60
Y 0.0543 0.0543 0.8370  3 Pb 3.07
Pb 0.6836 0.6836 0.9491  6 Y 3.07-3.29, 1 Ho 3.35

=====

# 2
YHoPb2 | PBE | relaxed

Output
Size of the total moment, μB per cell: 0.00
Symmetry: P4/mmm
ΔE_f, meV/atom: -429

Unit cell a=4.4055 b=5.0644 c=5.0644 alpha=90.00 beta=90.00 gamma=90.00
Closest atoms and distances in Å follow each position.
Element x y z (fractional)
Y 0.5000 0.0000 0.0000  8 Pb 3.36, 4 Ho 3.58
Pb 0.0000 0.5000 0.0000  4 Ho 3.36, 4 Y 3.36, 4 Pb 3.58
Pb 0.0000 0.0000 0.5000  4 Ho 3.36, 4 Y 3.36, 4 Pb 3.58
Ho 0.5000 0.5000 0.5000  8 Pb 3.36, 4 Y 3.58

=====

# 3
Y4HoPb5 | PBE | relaxed

Output
Size of the total moment, μB per cell: 0.00
Symmetry: I4
ΔE_f, meV/atom: -353

Unit cell a=6.2969 b=7.7124 c=7.7124 alpha=80.41 beta=65.91 gamma=65.91
Closest atoms and distances in Å follow each position.
Element x y z (fractional)
Y 0.5998 0.6003 0.2012  6 Pb 3.15-3.16
Y 0.2001 0.2012 0.3997  6 Pb 3.15-3.16
Y 0.4013 0.3997 0.7988  6 Pb 3.15-3.16
Y 0.8010 0.7988 0.6003  6 Pb 3.15-3.16
Pb 0.9006 0.3983 0.8015  1 Ho 3.13, 5 Y 3.15-3.16
Pb 0.2989 0.8015 0.6017  1 Ho 3.13, 5 Y 3.15-3.16
Pb 0.1004 0.6017 0.1985  1 Ho 3.13, 5 Y 3.15-3.16
Pb 0.5031 0.0000 0.0000  2 Ho 3.15, 4 Y 3.15
Pb 0.7021 0.1985 0.3983  1 Ho 3.13, 5 Y 3.15-3.16
Ho 0.0029 0.0000 0.0000  6 Pb 3.13-3.15

=====

# 4
YHoPb2 | PBE | relaxed

Output
Size of the total moment, μB per cell: 0.00
Symmetry: C2/c
ΔE_f, meV/atom: -451

Unit cell a=9.2729 b=5.8621 c=10.4391 alpha=95.31 beta=108.97 gamma=115.08
Closest atoms and distances in Å follow each position.
Element x y z (fractional)
Pb 0.0643 0.3172 0.1251  3 Ho 3.20-3.22, 3 Y 3.21-3.23
Pb 0.9357 0.6828 0.8749  3 Ho 3.20-3.22, 3 Y 3.21-3.23
Pb 0.4392 0.1921 0.8749  3 Ho 3.20-3.22, 3 Y 3.21-3.23
Pb 0.1875 0.9354 0.3750  3 Ho 3.20-3.22, 3 Y 3.22-3.24
Pb 0.6874 0.4396 0.3750  3 Ho 3.20-3.22, 3 Y 3.22-3.24
Pb 0.3126 0.5604 0.6250  3 Ho 3.20-3.22, 3 Y 3.22-3.24
Pb 0.5608 0.8079 0.1251  3 Ho 3.20-3.22, 3 Y 3.21-3.23
Pb 0.8125 0.0646 0.6250  3 Ho 3.20-3.22, 3 Y 3.22-3.24
Y 0.9368 0.1868 0.3737  6 Pb 3.21-3.24
Y 0.6879 0.9379 0.8759  6 Pb 3.22-3.23
Y 0.0632 0.8132 0.6263  6 Pb 3.21-3.24
Y 0.3121 0.0621 0.1241  6 Pb 3.22-3.23
Ho 0.8129 0.5629 0.1258  6 Pb 3.20-3.22
Ho 0.1871 0.4371 0.8742  6 Pb 3.20-3.22
Ho 0.5618 0.3118 0.6236  6 Pb 3.20-3.22
Ho 0.4382 0.6882 0.3764  6 Pb 3.20-3.22

=====

# 5
Y2HoPb | PBE | relaxed

Output
Size of the total moment, μB per cell: 0.00
Symmetry: P4/mmm
Relative energy among the computed polymorphs, meV/atom: 55.1
ΔE_f, meV/atom: -221

Unit cell a=3.6502 b=3.6502 c=9.1635 alpha=90.00 beta=90.00 gamma=90.00
Closest atoms and distances in Å follow each position.
Element x y z (fractional)
Y 0.0000 0.0000 0.2353  4 Pb 3.36, 4 Ho 3.54, 4 Y 3.65
Y 0.0000 0.0000 0.7647  4 Pb 3.36, 4 Ho 3.54, 4 Y 3.65
Ho 0.5000 0.5000 0.5000  8 Y 3.54, 4 Ho 3.65
Pb 0.5000 0.5000 0.0000  8 Y 3.36, 4 Pb 3.65

=====

# 6
YHoPb6 | PBE | relaxed

Output
Size of the total moment, μB per cell: 0.00
Symmetry: P4/mmm
ΔE_f, meV/atom: -274

Unit cell a=4.8802 b=4.8802 c=9.7545 alpha=90.00 beta=90.00 gamma=90.00
Closest atoms and distances in Å follow each position.
Element x y z (fractional)
Y 0.0000 0.0000 0.5000  12 Pb 3.45-3.46
Pb 0.0000 0.5000 0.7510  2 Ho 3.44, 8 Pb 3.44-3.46, 2 Y 3.46
Pb 0.5000 0.5000 0.0000  8 Pb 3.44, 4 Ho 3.45
Pb 0.5000 0.0000 0.7510  8 Pb 3.44-3.46, 2 Ho 3.44, 2 Y 3.46
Pb 0.5000 0.5000 0.5000  4 Y 3.45, 8 Pb 3.46
Pb 0.5000 0.0000 0.2490  8 Pb 3.44-3.46, 2 Ho 3.44, 2 Y 3.46
Pb 0.0000 0.5000 0.2490  8 Pb 3.44-3.46, 2 Ho 3.44, 2 Y 3.46
Ho 0.0000 0.0000 0.0000  12 Pb 3.44-3.45

=====

# 7
YHo2Pb3 | PBE | relaxed

Output
Size of the total moment, μB per cell: 0.00
Symmetry: C2/c
ΔE_f, meV/atom: -500

Unit cell a=6.3937 b=6.3900 c=9.0302 alpha=110.72 beta=100.18 gamma=90.00
Closest atoms and distances in Å follow each position.
Element x y z (fractional)
Pb 0.5840 0.0428 0.3344  5 Ho 3.19-3.57, 1 Y 3.20, 3 Pb 3.56-3.57
Pb 0.4160 0.9572 0.6656  5 Ho 3.19-3.57, 1 Y 3.20, 3 Pb 3.56-3.57
Pb 0.9160 0.7084 0.6656  5 Ho 3.19-3.57, 1 Y 3.20, 3 Pb 3.56-3.57
Pb 0.2500 0.3751 0.0000  2 Y 3.19-3.20, 2 Ho 3.19
Pb 0.0840 0.2916 0.3344  5 Ho 3.19-3.57, 1 Y 3.20, 3 Pb 3.56-3.57
Pb 0.7500 0.6249 0.0000  2 Y 3.19-3.20, 2 Ho 3.19
Y 0.2500 0.8742 0.0000  4 Pb 3.19-3.20
Y 0.7500 0.1258 0.0000  4 Pb 3.19-3.20
Ho 0.4176 0.4579 0.6667  6 Pb 3.19-3.57, 1 Ho 3.57
Ho 0.9176 0.2087 0.6667  6 Pb 3.19-3.57, 1 Ho 3.57
Ho 0.0824 0.7913 0.3333  6 Pb 3.19-3.57, 1 Ho 3.57
Ho 0.5824 0.5421 0.3333  6 Pb 3.19-3.57, 1 Ho 3.57

=====

# 8
YHoPb2 | PBE | relaxed

Output
Size of the total moment, μB per cell: 0.00
Symmetry: P4/mmm
ΔE_f, meV/atom: -437

Unit cell a=3.5514 b=3.5514 c=8.9098 alpha=90.00 beta=90.00 gamma=90.00
Closest atoms and distances in Å follow each position.
Element x y z (fractional)
Pb 0.0000 0.0000 0.2513  4 Ho 3.35, 4 Y 3.36, 4 Pb 3.55
Pb 0.0000 0.0000 0.7487  4 Ho 3.35, 4 Y 3.36, 4 Pb 3.55
Ho 0.5000 0.5000 0.5000  8 Pb 3.35, 4 Ho 3.55
Y 0.5000 0.5000 0.0000  8 Pb 3.36, 4 Y 3.55

=====

What is the size of the total moment in the sixth record?
0.00 μB per cell